{
  "formula": "Pm6Sm",
  "functional": "PBE-GGA",
  "state": "optimized geometry",
  "sg": "No. 229",
  "dft_energy_ev_per_atom": -3.530,
  "polymorph_energy_mev_per_atom": 980.0,
  "formation_enthalpy_0k_mev_per_atom": 1216,
  "lattice": [[-1.454, -1.829, 6.647], [4.221, -4.840, -2.897], [3.222, 6.265, -0.061]],
  "species": ["Pm", "Pm", "Pm", "Pm", "Sm", "Pm", "Pm"],
  "fractional_positions": [[0.500, 0.250, 0.750], [0.750, 0.500, 0.250], [0.500, 0.750, 0.250], [0.750, 0.250, 0.500], [0.000, 0.000, 0.000], [0.250, 0.500, 0.750], [0.250, 0.750, 0.500]]
}